## ZnGaBi2Mo (PBE)

Data for a relaxed ZnGaBi2Mo crystal.

Computed properties:
Total magnetization in μB/cell: 0.00
Final energy in eV/atom: -4.100

a = 5.3710 Å, b = 5.3710 Å, c = 5.0304 Å
α = 90.00°, β = 90.00°, γ = 90.00°
Last column: nearest neighbours and their distance in Å.
Space group P4/mmm (No. 123)
Unique sites:
1 Zn 0.0000 0.0000 0.0000  8 Bi 3.68, 4 Ga 3.80
2 Ga 0.5000 0.5000 0.0000  2 Mo 2.52
3 Bi 0.0000 0.5000 0.5000  2 Mo 2.69
4 Mo 0.5000 0.5000 0.5000  2 Ga 2.52, 4 Bi 2.69



## MnPdPt2Au (PBE)

Data for a relaxed MnPdPt2Au crystal.

Computed properties:
Total magnetization in μB/cell: 5.07
Final energy in eV/atom: -4.861

a = 4.8828 Å, b = 4.8828 Å, c = 4.6166 Å
α = 90.00°, β = 90.00°, γ = 90.00°
Last column: nearest neighbours and their distance in Å.
Space group P4/mmm (No. 123)
Unique sites:
1 Mn 0.0000 0.0000 0.0000  2 Pd 2.31
2 Pd 0.0000 0.0000 0.5000  2 Mn 2.31, 4 Pt 2.44
3 Pt 0.0000 0.5000 0.5000  2 Pd 2.44
4 Au 0.5000 0.5000 0.0000  8 Pt 3.36, 4 Mn 3.45